VASP calculation (PBE) on crystalline Sr2TaSi at its relaxed geometry.

Geometry as POSCAR:
```
Sr2TaSi
1.0
9.419 -1.814 0.000
9.419 1.814 0.000
-0.729 0.000 3.645
Sr Ta Si
2 1 1
Direct
0.154 0.154 0.153 Sr
0.846 0.846 0.847 Sr
0.000 0.000 0.500 Ta
0.500 0.500 0.000 Si
```

Summary:
As for the uncorrected formation energy: 0.1429 eV/atom. Its total energy is -5.02 eV/atom.

VASP calculation (PBE) on crystalline TlZn2Re at its relaxed geometry.

Geometry as POSCAR:
```
TlZn2Re
1.0
5.612 -1.392 0.000
5.612 1.392 0.000
-0.843 0.000 4.641
Tl Zn Re
1 2 1
Direct
0.000 0.000 0.000 Tl
0.587 0.587 0.527 Zn
0.793 0.793 0.347 Zn
0.261 0.261 0.838 Re
```

Summary:
The energy relative to the elements is 0.52 eV per atom. As for the energy above the most stable polymorph in this dataset: 0.046 eV per atom. Its total energy is -3.82 eV/atom.

VASP calculation (PBE) on crystalline CoPd3Ru at its relaxed geometry.

Geometry as POSCAR:
```
CoPd3Ru
1.0
4.740 0.000 0.000
0.000 4.740 0.000
0.000 0.000 4.740
Co Pd Ru
1 3 1
Direct
0.000 0.000 0.000 Co
0.000 0.500 0.500 Pd
0.500 0.000 0.500 Pd
0.500 0.500 0.000 Pd
0.500 0.500 0.500 Ru
```

Summary:
The energy relative to the elements is 1.62 eV per atom. As for the energy above the most stable polymorph in this dataset: 0.402 eV per atom. Its total energy is -4.77 eV/atom.

VASP calculation (PBE) on crystalline Ce2BeH at its relaxed geometry.

Geometry as POSCAR:
```
Ce2BeH
1.0
1.497 0.864 9.276
-1.497 0.864 9.276
0.000 -1.728 9.276
Ce Be H
2 1 1
Direct
0.107 0.107 0.107 Ce
0.893 0.893 0.893 Ce
0.000 0.000 0.000 Be
0.500 0.500 0.500 H
```

Summary:
Its total energy is -4.30 eV/atom.